1.
! HfTa2 (PBE-GGA, optimized geometry); values from VASP
&SYSTEM
  ibrav = 0, nat = 12, ntyp = 2
/
ATOMIC_SPECIES
Hf 178.49 Hf.upf
Ta 180.95 Ta.upf
CELL_PARAMETERS angstrom
5.546 0.000 0.000
-2.773 4.803 0.000
0.000 0.000 8.941
ATOMIC_POSITIONS crystal
Hf 0.333 0.667 0.063
Hf 0.333 0.667 0.437
Hf 0.667 0.333 0.563
Hf 0.667 0.333 0.937
Ta 0.000 0.000 0.000
Ta 0.342 0.171 0.250
Ta 0.829 0.171 0.250
Ta 0.829 0.658 0.250
Ta 0.000 0.000 0.500
Ta 0.171 0.342 0.750
Ta 0.171 0.829 0.750
Ta 0.658 0.829 0.750
! magnetization: 0.09 μB per cell
! DFT formation energy: 0.14 eV per formula unit
! symmetry: P6_3/mmc, No. 194

2.
! HfTa3 (PBE-GGA, optimized geometry); values from VASP
&SYSTEM
  ibrav = 0, nat = 4, ntyp = 2
/
ATOMIC_SPECIES
Hf 178.49 Hf.upf
Ta 180.95 Ta.upf
CELL_PARAMETERS angstrom
5.280 0.505 -1.526
3.829 -0.007 3.975
-4.343 -3.089 -1.434
ATOMIC_POSITIONS crystal
Hf 0.000 0.000 0.000
Ta 0.500 0.500 0.000
Ta 0.750 0.250 0.500
Ta 0.250 0.750 0.500
! magnetization: 0.00 μB per cell
! DFT formation energy: 0.83 eV per formula unit
! symmetry: I4/mmm, No. 139

3.
! HfTaTc (PBE-GGA, optimized geometry); values from VASP
&SYSTEM
  ibrav = 0, nat = 3, ntyp = 3
/
ATOMIC_SPECIES
Hf 178.49 Hf.upf
Ta 180.95 Ta.upf
Tc 98.00 Tc.upf
CELL_PARAMETERS angstrom
0.000 3.139 3.139
3.139 0.000 3.139
3.139 3.139 0.000
ATOMIC_POSITIONS crystal
Hf 0.750 0.750 0.750
Ta 0.250 0.250 0.250
Tc 0.000 0.000 0.000
! magnetization: 0.00 μB per cell
! DFT formation energy: 0.39 eV per formula unit
! symmetry: F-43m, No. 216

4.
! Hf2TaTc (PBE-GGA, optimized geometry); values from VASP
&SYSTEM
  ibrav = 0, nat = 4, ntyp = 3
/
ATOMIC_SPECIES
Hf 178.49 Hf.upf
Ta 180.95 Ta.upf
Tc 98.00 Tc.upf
CELL_PARAMETERS angstrom
0.000 3.325 3.325
3.325 0.000 3.325
3.325 3.325 0.000
ATOMIC_POSITIONS crystal
Hf 0.500 0.500 0.500
Hf 0.750 0.750 0.750
Ta 0.000 0.000 0.000
Tc 0.250 0.250 0.250
! magnetization: 0.00 μB per cell
! DFT formation energy: -0.19 eV per formula unit
! symmetry: F-43m, No. 216